# 1
Here is a geometry-optimized Ac2LaYSe6 structure from Alexandria via LeMat-Bulk. Energies are from PBE-GGA.

Cell lengths 7.294, 8.010, 12.914 Å; angles 90.00, 123.47, 90.00 degrees
Space group P2_1/c (No. 14)
Unique sites:
Ac: 0.211 0.095 0.248 (multiplicity 4)
La: 0.500 0.000 0.000 (multiplicity 2)
Y: 0.000 0.000 0.500 (multiplicity 2)
Se: 0.101 0.191 0.929 (multiplicity 4)
Se: 0.245 0.683 0.929 (multiplicity 4)
Se: 0.386 0.052 0.743 (multiplicity 4)

Calculated volume in Å³ per atom: 31.467
Crystal system: monoclinic
Formation energy (no corrections) in eV/atom: -1.98

=====

# 2
Here is a geometry-optimized TaIrOs3 structure from Alexandria via LeMat-Bulk. Energies are from PBE-GGA.

Cell lengths 4.652, 4.652, 4.652 Å; angles 90.00, 90.00, 90.00 degrees
Space group Pm-3m (No. 221)
Unique sites:
Ta: 0.000 0.000 0.000 (multiplicity 1)
Ir: 0.500 0.500 0.500 (multiplicity 1)
Os: 0.000 0.500 0.500 (multiplicity 3)

Calculated volume in Å³ per atom: 20.132
Crystal system: cubic
Formation enthalpy at 0 K in kJ per mole of atoms: 221